Below is a relaxed K6HgSe4 crystal, with properties calculated at the PBEsol level.

Lattice parameters (Å, degrees): 7.8093 10.3175 10.3175 120.00 90.00 90.00
Positions (direct):
Se 0.8454 0.6667 0.3333
K 0.6216 0.4740 0.5260
K 0.7965 0.2989 0.1495
Se 0.8935 0.1893 0.8107
K 0.1216 0.5260 0.4740
K 0.2965 0.1495 0.2989
Se 0.3935 0.8107 0.1893
K 0.1216 0.9481 0.4740
Se 0.3935 0.8107 0.6213
Hg 0.4969 0.6667 0.3333
K 0.6216 0.0519 0.5260
K 0.7965 0.8505 0.7011
K 0.2965 0.1495 0.8505
Se 0.3454 0.3333 0.6667
Se 0.8935 0.6213 0.8107
K 0.7965 0.8505 0.1495
Hg 0.9969 0.3333 0.6667
K 0.1216 0.5260 0.0519
Se 0.8935 0.1893 0.3787
K 0.2965 0.7011 0.8505
K 0.6216 0.4740 0.9481
Se 0.3935 0.3787 0.1893

Summary:
For the uncorrected formation energy, the calculation gives -1005 meV per atom. The total DFT energy (no corrections) is -3.074 eV/atom. Its calculated volume is 719.9 Å³ per cell.